Record 1
Material: NiHgIr2
Method: DFT, PBE
State: relaxed

Properties
crystal system	tetragonal
calculated total energy	-22.37	eV per formula unit
energy of formation	139	kJ/mol of formula units
V	15.2	Å³ per atom

abc: 2.834 2.834 7.587
angles: 90.00 90.00 90.00
Space group P4/mmm (No. 123)
Inequivalent atoms, fractional coordinates:
1 Ni 0.000 0.000 0.000 x1
2 Hg 0.000 0.000 0.500 x1
3 Ir 0.500 0.500 0.207 x2

***

Record 2
Material: NaTaGe2
Method: DFT, PBE
State: relaxed

Properties
crystal system	trigonal
calculated total energy	-22.59	eV per formula unit
energy of formation	-17	kJ/mol of formula units
polymorph energy (0 for the lowest one)	0.0	meV per atom
V	19.1	Å³ per atom

abc: 3.0646 3.0646 28.1099
angles: 90.00 90.00 120.00
Space group R-3m (No. 166, hexagonal axes)
Inequivalent atoms, fractional coordinates:
1 Na 0.0000 0.0000 0.0000 x3
2 Ta 0.0000 0.0000 0.5000 x3
3 Ge 0.0000 0.0000 0.2441 x6